# 1
Below is a relaxed CsBeBr2 crystal, with properties calculated at the PBE level.

Unit cell a=8.091 b=8.091 c=8.091 alpha=127.87 beta=127.87 gamma=76.84
Element x y z (fractional)
Cs  0.000  0.000  0.000
Cs  0.750  0.250  0.500
Be  0.250  0.750  0.500
Be  0.500  0.500  0.000
Br  0.276  0.625  0.151
Br  0.375  0.526  0.651
Br  0.474  0.125  0.849
Br  0.875  0.724  0.349

Summary:
E   -2.61 eV per atom
E_form (uncorrected)   -241 kJ/mol of formula units
V   40.06 Å³ per atom
Energy relative to the lowest polymorph listed for this composition   0.000 eV per atom
Total moment   0.0000 μB/atom
Space-group type   I-42d
Crystal system   tetragonal



# 2
Below is a relaxed CsBeCuBr2 crystal, with properties calculated at the PBE level.

Unit cell a=5.586 b=5.586 c=4.499 alpha=90.00 beta=90.00 gamma=90.00
Element x y z (fractional)
Cs  0.000  0.000  0.000
Be  0.500  0.500  0.000
Cu  0.500  0.500  0.500
Br  0.000  0.500  0.500
Br  0.500  0.000  0.500

Summary:
E   -2.67 eV per atom
E_form (uncorrected)   -127 kJ/mol of formula units
V   28.08 Å³ per atom
Total moment   0.0000 μB/atom
Space-group type   P4/mmm
Crystal system   tetragonal



# 3
Below is a relaxed CsDyBe2Br8 crystal, with properties calculated at the PBE level.

Unit cell a=11.255 b=11.255 c=11.255 alpha=34.45 beta=34.45 gamma=34.45
Element x y z (fractional)
Cs  0.000  0.000  0.000
Dy  0.500  0.500  0.500
Be  0.243  0.243  0.243
Be  0.757  0.757  0.757
Br  0.097  0.780  0.465
Br  0.220  0.535  0.903
Br  0.310  0.310  0.310
Br  0.465  0.097  0.780
Br  0.535  0.903  0.220
Br  0.690  0.690  0.690
Br  0.780  0.465  0.097
Br  0.903  0.220  0.535

Summary:
E   -3.60 eV per atom
E_form (uncorrected)   -1635 kJ/mol of formula units
V   33.91 Å³ per atom
Total moment   0.0000 μB/atom
Space-group type   R-3
Crystal system   trigonal



# 4
Below is a relaxed Cs2BeBr6F crystal, with properties calculated at the PBE level.

Unit cell a=7.887 b=7.887 c=7.887 alpha=119.26 beta=119.26 gamma=91.29
Element x y z (fractional)
Cs  0.250  0.750  0.500
Cs  0.750  0.250  0.500
Be  0.000  0.000  0.000
Br  0.200  0.200  0.400
Br  0.200  0.800  0.000
Br  0.303  0.303  0.000
Br  0.697  0.697  0.000
Br  0.800  0.200  0.000
Br  0.800  0.800  0.600
F  0.500  0.500  0.000

Summary:
E   -2.67 eV per atom
E_form (uncorrected)   -900 kJ/mol of formula units
V   35.08 Å³ per atom
Total moment   0.1000 μB/atom
Space-group type   I4/mmm
Crystal system   tetragonal



# 5
Below is a relaxed CsBe2GaBr6 crystal, with properties calculated at the PBE level.

Unit cell a=9.619 b=9.619 c=9.904 alpha=102.79 beta=102.79 gamma=107.96
Element x y z (fractional)
Cs  0.161  0.839  0.750
Cs  0.839  0.161  0.250
Be  0.147  0.375  0.723
Be  0.375  0.147  0.223
Be  0.625  0.853  0.777
Be  0.853  0.625  0.277
Ga  0.460  0.540  0.250
Ga  0.540  0.460  0.750
Br  0.063  0.607  0.341
Br  0.201  0.202  0.603
Br  0.202  0.201  0.103
Br  0.324  0.546  0.903
Br  0.393  0.937  0.159
Br  0.454  0.676  0.597
Br  0.546  0.324  0.403
Br  0.607  0.063  0.841
Br  0.676  0.454  0.097
Br  0.798  0.799  0.897
Br  0.799  0.798  0.397
Br  0.937  0.393  0.659

Summary:
E   -3.20 eV per atom
E_form (uncorrected)   -1023 kJ/mol of formula units
V   40.38 Å³ per atom
Total moment   0.0000 μB/atom
Space-group type   C2/c
Crystal system   monoclinic



# 6
Below is a relaxed CsBeGaBr4 crystal, with properties calculated at the PBE level.

Unit cell a=6.763 b=7.484 c=9.881 alpha=90.00 beta=108.19 gamma=90.00
Element x y z (fractional)
Cs  0.222  0.250  0.411
Cs  0.778  0.750  0.589
Be  0.119  0.250  0.804
Be  0.881  0.750  0.196
Ga  0.317  0.750  0.034
Ga  0.683  0.250  0.966
Br  0.150  0.250  0.032
Br  0.215  0.750  0.324
Br  0.271  0.010  0.755
Br  0.271  0.490  0.755
Br  0.729  0.510  0.245
Br  0.729  0.990  0.245
Br  0.785  0.250  0.676
Br  0.850  0.750  0.968

Summary:
E   -3.18 eV per atom
E_form (uncorrected)   -766 kJ/mol of formula units
V   33.94 Å³ per atom
Total moment   0.0000 μB/atom
Space-group type   P2_1/m
Crystal system   monoclinic